! LiSc2Ir | Alexandria via LeMat-Bulk | GGA-PBE | relaxed; values from VASP
&SYSTEM
  ibrav = 0, nat = 12, ntyp = 3
/
ATOMIC_SPECIES
Li 6.94 Li.upf
Sc 44.96 Sc.upf
Ir 192.22 Ir.upf
CELL_PARAMETERS angstrom
3.930 0.000 0.000
-1.965 3.403 0.000
0.000 0.000 21.279
ATOMIC_POSITIONS angstrom
Li 0.000 0.000 0.000
Li 0.000 2.269 14.186
Li 1.965 1.134 7.093
Sc 0.000 0.000 4.815
Sc 0.000 0.000 16.464
Sc 0.000 2.269 9.371
Sc 0.000 2.269 19.001
Sc 1.965 1.134 2.278
Sc 1.965 1.134 11.908
Ir 0.000 0.000 10.639
Ir 0.000 2.269 3.546
Ir 1.965 1.134 17.732
! Final energy = -0.2262 Ha/atom
! Space-group type = No. 166
! ΔE_f = -0.294 eV/atom
! Total magnetic moment = 0.0 Bohr magnetons per cell

! Li2ScIr | Alexandria via LeMat-Bulk | GGA-PBE | relaxed; values from VASP
&SYSTEM
  ibrav = 0, nat = 4, ntyp = 3
/
ATOMIC_SPECIES
Li 6.94 Li.upf
Sc 44.96 Sc.upf
Ir 192.22 Ir.upf
CELL_PARAMETERS angstrom
3.055 0.000 0.000
0.000 4.851 0.000
-0.337 0.000 4.471
ATOMIC_POSITIONS angstrom
Li 0.571 0.000 1.284
Li 2.147 0.000 3.187
Sc 1.528 2.425 0.000
Ir -0.168 2.425 2.235
! Final energy = -0.1844 Ha/atom
! Space-group type = No. 10
! ΔE_f = -0.263 eV/atom
! Total magnetic moment = 0.0 Bohr magnetons per cell

! LiSc2Ir | Alexandria via LeMat-Bulk | GGA-PBE | relaxed; values from VASP
&SYSTEM
  ibrav = 0, nat = 4, ntyp = 3
/
ATOMIC_SPECIES
Li 6.94 Li.upf
Sc 44.96 Sc.upf
Ir 192.22 Ir.upf
CELL_PARAMETERS angstrom
3.169 0.000 0.000
0.000 3.368 0.000
-0.013 0.000 7.182
ATOMIC_POSITIONS angstrom
Li 0.000 0.000 0.000
Sc 1.578 1.684 2.029
Sc 1.578 1.684 5.154
Ir -0.006 0.000 3.591
! Final energy = -0.2334 Ha/atom
! Space-group type = No. 10
! ΔE_f = -0.492 eV/atom
! Total magnetic moment = 0.0 Bohr magnetons per cell

! Li4ScIr | Alexandria via LeMat-Bulk | GGA-PBE | relaxed; values from VASP
&SYSTEM
  ibrav = 0, nat = 6, ntyp = 3
/
ATOMIC_SPECIES
Li 6.94 Li.upf
Sc 44.96 Sc.upf
Ir 192.22 Ir.upf
CELL_PARAMETERS angstrom
0.000 3.521 3.521
3.521 0.000 3.521
3.521 3.521 0.000
ATOMIC_POSITIONS angstrom
Li 2.663 2.663 2.663
Li 4.378 4.378 2.663
Li 4.378 2.663 4.378
Li 2.663 4.378 4.378
Sc 0.000 0.000 0.000
Ir 5.281 5.281 5.281
! Final energy = -0.1410 Ha/atom
! Space-group type = No. 216
! ΔE_f = -0.030 eV/atom
! Total magnetic moment = 0.7 Bohr magnetons per cell

! LiSc2Si2Ir5 | Alexandria via LeMat-Bulk | GGA-PBE | relaxed; values from VASP
&SYSTEM
  ibrav = 0, nat = 20, ntyp = 4
/
ATOMIC_SPECIES
Li 6.94 Li.upf
Sc 44.96 Sc.upf
Si 28.09 Si.upf
Ir 192.22 Ir.upf
CELL_PARAMETERS angstrom
9.543 0.000 0.000
0.000 9.543 0.000
0.000 0.000 3.316
ATOMIC_POSITIONS angstrom
Li 0.000 0.000 0.000
Li 4.772 4.772 0.000
Sc 1.638 3.133 0.000
Sc 3.133 7.905 0.000
Sc 6.410 1.638 0.000
Sc 7.905 6.410 0.000
Si 1.246 6.017 0.000
Si 3.526 1.246 0.000
Si 6.017 8.297 0.000
Si 8.297 3.526 0.000
Ir 0.000 4.772 1.658
Ir 0.641 7.599 1.658
Ir 1.944 0.641 1.658
Ir 2.828 5.412 1.658
Ir 4.131 2.828 1.658
Ir 4.772 0.000 1.658
Ir 5.412 6.715 1.658
Ir 6.715 4.131 1.658
Ir 7.599 8.903 1.658
Ir 8.903 1.944 1.658
! Final energy = -0.2849 Ha/atom
! Raw formation energy = -0.7788 eV/atom
! Space-group type = No. 127
! Total magnetic moment = 0.0 Bohr magnetons per cell

! LiSmScIr | Alexandria via LeMat-Bulk | GGA-PBE | relaxed; values from VASP
&SYSTEM
  ibrav = 0, nat = 16, ntyp = 4
/
ATOMIC_SPECIES
Li 6.94 Li.upf
Sm 150.36 Sm.upf
Sc 44.96 Sc.upf
Ir 192.22 Ir.upf
CELL_PARAMETERS angstrom
6.838 0.000 0.000
0.000 6.838 0.000
0.000 0.000 6.838
ATOMIC_POSITIONS angstrom
Li 0.000 0.000 0.000
Li 0.000 3.419 3.419
Li 3.419 0.000 3.419
Li 3.419 3.419 0.000
Sm 1.709 1.709 1.709
Sm 1.709 5.128 5.128
Sm 5.128 1.709 5.128
Sm 5.128 5.128 1.709
Sc 1.709 1.709 5.128
Sc 1.709 5.128 1.709
Sc 5.128 1.709 1.709
Sc 5.128 5.128 5.128
Ir 0.000 0.000 3.419
Ir 0.000 3.419 0.000
Ir 3.419 0.000 0.000
Ir 3.419 3.419 3.419
! Final energy = -0.2195 Ha/atom
! Space-group type = No. 216
! ΔE_f = -0.516 eV/atom
! Total magnetic moment = 0.0 Bohr magnetons per cell